# Ti2CuP3O12 (meta-GGA SCAN, single point on PBEsol structure)
# total DFT energy (no corrections): -200.02 eV per formula unit
# uncorrected formation energy: -2.599 eV/atom
data_Ti2CuP3O12
_chemical_formula_sum 'Ti12 Cu6 P18 O72'
_cell_length_a 8.5878
_cell_length_b 8.5878
_cell_length_c 20.7120
_cell_angle_alpha 90.00
_cell_angle_beta 90.00
_cell_angle_gamma 120.00
_symmetry_space_group_name_H-M 'R -3 c'
_symmetry_Int_Tables_number 167
_symmetry_space_group_name_Hall '-R 3 2"c'
loop_
_atom_site_label
_atom_site_fract_x
_atom_site_fract_y
_atom_site_fract_z
Ti1 0.0000 0.0000 0.1397
Cu1 0.0000 0.0000 0.0000
P1 0.0000 0.2889 0.2500
O1 0.0009 0.1870 0.3106
O2 0.0236 0.1886 0.9209